KRbB3: optimized geometry, PBE.

Cell lengths 5.457, 5.457, 5.457 Å; angles 90.00, 90.00, 90.00 degrees
Space group Pm-3m (No. 221)
Unique sites:
1 K 0.000 0.000 0.000 x1
2 Rb 0.500 0.500 0.500 x1
3 B 0.000 0.000 0.500 x3

Values from the calculation:
Polymorph energy (0 for the lowest one) ... 0 meV per atom
ΔH_f (0 K) ... 2789 meV per atom
Density ... 1.60 Mg/m³
DOS at the Fermi energy ... 1.018 states/eV/atom